Record 1
Entry from OQMD via LeMat-Bulk: crystalline BeCoSeO at its relaxed geometry (PBE+U).

It has space group P4/nmm (No. 129, origin choice 2), with a = 4.640 Å, b = 4.640 Å, c = 5.554 Å, α = 90.00°, β = 90.00° and γ = 90.00°. The distinct sites, in fractional coordinates, are Be at (0.250, 0.250, 0.193), Co at (0.250, 0.250, 0.768), Se at (0.250, 0.750, 0.000) and O at (0.250, 0.250, 0.450).

Record 2
Entry from OQMD via LeMat-Bulk: crystalline BeCoSeO at its relaxed geometry (PBE+U).

It has space group Pbca (No. 61), with a = 6.308 Å, b = 6.453 Å, c = 11.174 Å, α = 90.00°, β = 90.00° and γ = 90.00°. The distinct sites, in fractional coordinates, are Be at (0.094, 0.183, 0.076), Co at (0.152, 0.584, 0.779), Se at (0.240, 0.578, 0.471) and O at (0.116, 0.227, 0.213).

Record 3
Entry from OQMD via LeMat-Bulk: crystalline BeCoSeO at its relaxed geometry (PBE+U).

It has space group Pbca (No. 61), with a = 4.727 Å, b = 16.184 Å, c = 5.205 Å, α = 90.00°, β = 90.00° and γ = 90.00°. The distinct sites, in fractional coordinates, are Be at (0.090, 0.237, 0.122), Co at (0.249, 0.085, 0.417), Se at (0.250, 0.072, 0.938) and O at (0.244, 0.730, 0.382).

Record 4
Entry from OQMD via LeMat-Bulk: crystalline BeCoSeO at its relaxed geometry (PBE+U).

It has space group P2_12_12_1 (No. 19), with a = 5.844 Å, b = 6.478 Å, c = 7.404 Å, α = 90.00°, β = 90.00° and γ = 90.00°. The distinct sites, in fractional coordinates, are Be at (0.004, 0.098, 0.478), Co at (0.098, 0.695, 0.597), Se at (0.137, 0.873, 0.897) and O at (0.103, 0.391, 0.025).

Record 5
Entry from OQMD via LeMat-Bulk: crystalline BeCoSeO at its relaxed geometry (PBE+U).

It has space group Pca2_1 (No. 29), with a = 5.931 Å, b = 6.619 Å, c = 5.717 Å, α = 90.00°, β = 90.00° and γ = 90.00°. The distinct sites, in fractional coordinates, are Be at (0.051, 0.170, 0.000), Co at (0.116, 0.599, 0.921), Se at (0.090, 0.132, 0.614) and O at (0.072, 0.626, 0.567).

Record 6
Entry from OQMD via LeMat-Bulk: crystalline BeCoTeO at its relaxed geometry (PBE+U).

It has space group Pbca (No. 61), with a = 6.603 Å, b = 11.942 Å, c = 6.612 Å, α = 90.00°, β = 90.00° and γ = 90.00°. The distinct sites, in fractional coordinates, are Be at (0.179, 0.091, 0.089), Co at (0.090, 0.730, 0.856), Te at (0.077, 0.034, 0.747) and O at (0.228, 0.216, 0.121).

Distance to the lowest polymorph of the same formula values (in meV/atom) by entry order: 675 337 0 235 211 366.